# PBE-GGA PtPbO3, relaxed
data_PtPbO3
_chemical_formula_sum 'Pt4 Pb4 O12'
_cell_length_a 7.198
_cell_length_b 5.375
_cell_length_c 7.315
_cell_angle_alpha 90.00
_cell_angle_beta 100.59
_cell_angle_gamma 90.00
_symmetry_space_group_name_H-M 'P 1 21/c 1'
_symmetry_Int_Tables_number 14
loop_
_symmetry_equiv_pos_as_xyz
'x,y,z'
'-x,-y,-z'
'-x,y+1/2,-z+1/2'
'x,-y+1/2,z+1/2'
loop_
_atom_site_label
_atom_site_type_symbol
_atom_site_fract_x
_atom_site_fract_y
_atom_site_fract_z
Pt1 Pt 0.073 0.243 0.427
Pb1 Pb 0.388 0.747 0.838
O1 O 0.076 0.065 0.174
O2 O 0.181 0.583 0.044
O3 O 0.339 0.138 0.924
# Final energy ... -5.654 eV/atom
# Formation energy from raw total energies ... -729 meV/atom